No. 1
Computed, not measured: a relaxed structure of NdTe2Pd4 at the GGA-PBE level of DFT.

POSCAR file:
```
NdTe2Pd4
1.0
-0.2865 -4.0727 1.6913
7.9848 -0.6365 -0.1800
0.4095 3.0442 7.4000
Te Pd Nd
4 8 2
direct
0.5000 0.7159 0.7159 Te
0.0000 0.7841 0.2159 Te
0.0000 0.2159 0.7841 Te
0.5000 0.2841 0.2841 Te
0.5000 0.1488 0.5986 Pd
0.0000 0.6488 0.9014 Pd
0.5000 0.4014 0.8512 Pd
0.0000 0.9014 0.6488 Pd
0.0000 0.0986 0.3512 Pd
0.5000 0.5986 0.1488 Pd
0.5000 0.8512 0.4014 Pd
0.0000 0.3512 0.0986 Pd
0.5000 0.0000 0.0000 Nd
0.0000 0.5000 0.5000 Nd
```

Computed properties:
E: -5.240 eV/atom
calculated density: 9.66 g/cm³
symmetry: P4_2/mnm (136)
uncorrected formation energy: -693.5 meV per atom

No. 2
Computed, not measured: a relaxed structure of NdTe2Pd4 at the GGA-PBE level of DFT.

POSCAR file:
```
NdTe2Pd4
1.0
-2.7627 2.0782 -3.0470
-4.5700 -0.4995 0.3182
-2.8089 6.7990 3.6994
Te Nd Pd
2 1 4
direct
0.2544 0.2544 0.2368 Te
0.7456 0.7456 0.7632 Te
0.0000 0.0000 0.0000 Nd
0.5722 0.5722 0.2835 Pd
0.4278 0.4278 0.7165 Pd
0.8596 0.8596 0.4213 Pd
0.1404 0.1404 0.5787 Pd
```

Computed properties:
E: -5.178 eV/atom
calculated density: 9.56 g/cm³
symmetry: R-3m (166)
uncorrected formation energy: -632.2 meV per atom

No. 3
Computed, not measured: a relaxed structure of NdTe2Pd7 at the GGA-PBE level of DFT.

POSCAR file:
```
NdTe2Pd7
1.0
-0.9057 3.4242 -2.4154
-3.1337 -2.1941 -1.9354
-4.9306 2.7743 9.5865
Pd Te Nd
7 2 1
direct
0.5000 0.5000 0.0000 Pd
0.0965 0.5965 0.1929 Pd
0.7500 0.2500 0.5000 Pd
0.4035 0.9035 0.8071 Pd
0.5965 0.0965 0.1929 Pd
0.9035 0.4035 0.8071 Pd
0.2500 0.7500 0.5000 Pd
0.3274 0.3274 0.6548 Te
0.6726 0.6726 0.3452 Te
0.0000 0.0000 0.0000 Nd
```

Computed properties:
E: -5.200 eV/atom
calculated density: 9.65 g/cm³
symmetry: I4/mmm (139)
uncorrected formation energy: -459.5 meV per atom

No. 4
Computed, not measured: a relaxed structure of Nd5Te4Pd at the GGA-PBE level of DFT.

POSCAR file:
```
Nd5Te4Pd
1.0
-2.7873 3.3568 0.8723
-1.5937 -2.2335 3.5028
13.1223 6.1165 7.0442
Pd Te Nd
1 4 5
direct
0.0000 0.0000 0.0000 Pd
0.3971 0.3971 0.7941 Te
0.1928 0.1928 0.3856 Te
0.8072 0.8072 0.6144 Te
0.6029 0.6029 0.2059 Te
0.0899 0.0899 0.1798 Nd
0.7061 0.7061 0.4121 Nd
0.9101 0.9101 0.8202 Nd
0.2939 0.2939 0.5879 Nd
0.5000 0.5000 0.0000 Nd
```

Computed properties:
E: -5.414 eV/atom
calculated density: 7.11 g/cm³
symmetry: I4/mmm (139)
uncorrected formation energy: -1254.5 meV per atom

No. 5
Computed, not measured: a relaxed structure of Nd5TePd2 at the GGA-PBE level of DFT.

POSCAR file:
```
Nd5TePd2
1.0
-2.7248 -5.5044 -5.3431
6.0348 -5.0386 2.1132
-5.6483 2.5281 6.4776
Pd Nd Te
4 10 2
direct
0.1335 0.3665 0.0000 Pd
0.3665 0.8665 0.0000 Pd
0.8665 0.6335 0.0000 Pd
0.6335 0.1335 0.0000 Pd
0.2037 0.0135 0.7173 Nd
0.4865 0.2963 0.2827 Nd
0.0135 0.5135 0.7173 Nd
0.5000 0.5000 0.0000 Nd
0.7963 0.9865 0.2827 Nd
0.2963 0.7963 0.2827 Nd
0.0000 0.0000 0.0000 Nd
0.7037 0.2037 0.7173 Nd
0.5135 0.7037 0.7173 Nd
0.9865 0.4865 0.2827 Nd
0.7500 0.7500 0.5000 Te
0.2500 0.2500 0.5000 Te
```

Computed properties:
E: -5.393 eV/atom
calculated density: 7.75 g/cm³
symmetry: I4/mcm (140)
uncorrected formation energy: -722.6 meV per atom

No. 6
Computed, not measured: a relaxed structure of Nd5Te5Pd at the GGA-PBE level of DFT.

POSCAR file:
```
Nd5Te5Pd
1.0
-4.4143 -4.2445 1.6769
6.3614 -3.1022 -3.1267
1.7827 1.5253 8.5535
Nd Te Pd
5 5 1
direct
0.8444 0.6888 0.1581 Nd
0.1556 0.3112 0.8419 Nd
0.5000 0.0000 0.0000 Nd
0.1586 0.3172 0.3237 Nd
0.8414 0.6828 0.6763 Nd
0.0000 0.0000 0.5000 Te
0.3237 0.6473 0.6668 Te
0.6763 0.3527 0.3332 Te
0.3360 0.6720 0.1739 Te
0.6640 0.3280 0.8261 Te
0.0000 0.0000 0.0000 Pd
```

Computed properties:
E: -5.333 eV/atom
calculated density: 6.47 g/cm³
symmetry: C2/m (12)
uncorrected formation energy: -1265.6 meV per atom